An optimized crystal structure of Ca2Mg3Cu2. Source: the Alexandria database, functional GGA-PBE.

abc: 13.9180 13.9180 3.3997
angles: 90.00 90.00 165.72
Last column: nearest neighbours and their distance in Å.
Element x y z (fractional)
Ca  0.1870  0.8130  0.0000  4 Cu 3.10, 1 Mg 3.19, 4 Ca 3.40-3.46
Ca  0.8130  0.1870  0.0000  4 Cu 3.10, 1 Mg 3.19, 4 Ca 3.40-3.46
Mg  0.0717  0.9283  0.0000  4 Cu 2.73
Mg  0.5000  0.5000  0.5000  12 Mg 3.13-3.46, 2 Cu 3.24
Mg  0.9283  0.0717  0.0000  4 Cu 2.73
Cu  0.3828  0.6172  0.5000  4 Mg 2.73
Cu  0.6172  0.3828  0.5000  4 Mg 2.73

## Properties
Energy relative to the elements (eV/f.u.): -0.139
Density (Mg/m³): 2.86
Space-group type: Cmmm (65)
Offset from the most stable computed form (eV per atom): 0.117

=====

An optimized crystal structure of TmPuInPt. Source: the Alexandria database, functional GGA-PBE.

abc: 5.1160 5.1160 5.1160
angles: 60.00 60.00 60.00
Last column: nearest neighbours and their distance in Å.
Element x y z (fractional)
Tm  0.0000  0.0000  0.0000  4 In 3.13, 4 Pt 3.13
Pu  0.5000  0.5000  0.5000  4 In 3.13, 4 Pt 3.13
In  0.7500  0.7500  0.7500  4 Pu 3.13, 4 Tm 3.13
Pt  0.2500  0.2500  0.2500  4 Pu 3.13, 4 Tm 3.13

## Properties
Energy relative to the elements (eV/f.u.): -2.048
Density (Mg/m³): 12.68
Space-group type: F-43m (216)

=====

An optimized crystal structure of Li2DyBi. Source: the Alexandria database, functional GGA-PBE.

abc: 4.4583 4.4583 4.8640
angles: 90.00 90.00 90.00
Last column: nearest neighbours and their distance in Å.
Element x y z (fractional)
Li  0.0000  0.5000  0.0000  4 Li 3.15, 4 Dy 3.30, 4 Bi 3.30
Li  0.5000  0.0000  0.0000  4 Li 3.15, 4 Dy 3.30, 4 Bi 3.30
Dy  0.0000  0.0000  0.5000  4 Bi 3.15, 8 Li 3.30
Bi  0.5000  0.5000  0.5000  4 Dy 3.15, 8 Li 3.30

## Properties
Energy relative to the elements (eV/f.u.): -1.725
Density (Mg/m³): 6.62
Space-group type: P4/mmm (123)
Offset from the most stable computed form (eV per atom): 0.000

=====

An optimized crystal structure of YCu5Au7. Source: the Alexandria database, functional GGA-PBE.

abc: 6.9539 6.9539 6.9539
angles: 135.83 98.49 97.76
Last column: nearest neighbours and their distance in Å.
Element x y z (fractional)
Y  0.0000  0.0000  0.0000  10 Au 3.05-3.31, 2 Cu 3.40
Cu  0.4989  0.4926  0.5033  3 Cu 2.58-2.63, 7 Au 2.62-2.81
Cu  0.4989  0.9957  0.0064  3 Cu 2.58-2.63, 7 Au 2.62-2.81
Cu  0.7628  0.2628  0.5000  4 Cu 2.58, 6 Au 2.75-2.82
Cu  0.9893  0.4926  0.9936  3 Cu 2.58-2.63, 7 Au 2.62-2.81
Cu  0.9893  0.9957  0.4967  3 Cu 2.58-2.63, 7 Au 2.62-2.81
Au  0.1891  0.4890  0.7001  5 Cu 2.62-2.75, 3 Au 2.80-2.91
Au  0.2213  0.7213  0.5000  4 Cu 2.67, 6 Au 2.80-2.93
Au  0.3381  0.9987  0.3394  5 Cu 2.70-2.82, 4 Au 2.91-2.93
Au  0.3405  0.3405  0.0000  4 Cu 2.80, 5 Au 2.83-3.04, 1 Y 3.11
Au  0.6593  0.9987  0.6606  5 Cu 2.70-2.82, 4 Au 2.91-2.93
Au  0.6664  0.6664  0.0000  6 Cu 2.68-2.76, 1 Au 2.98
Au  0.7888  0.4890  0.2999  5 Cu 2.62-2.75, 3 Au 2.80-2.91

## Properties
Energy relative to the elements (eV/f.u.): -3.099
Density (Mg/m³): 13.66
Space-group type: Imm2 (44)

=====

An optimized crystal structure of LiCo. Source: the Alexandria database, functional GGA-PBE.

abc: 3.8614 3.8614 3.8614
angles: 60.00 60.00 60.00
Last column: nearest neighbours and their distance in Å.
Element x y z (fractional)
Li  0.0000  0.0000  0.0000  4 Co 2.36
Co  0.2500  0.2500  0.2500  4 Li 2.36

## Properties
Energy relative to the elements (eV/f.u.): 3.175
Density (Mg/m³): 2.69
Space-group type: F-43m (216)

=====

An optimized crystal structure of ZrNbOs2Se. Source: the Alexandria database, functional GGA-PBE.

abc: 4.7992 4.7992 4.9093
angles: 90.00 90.00 90.00
Last column: nearest neighbours and their distance in Å.
Element x y z (fractional)
Zr  0.0000  0.0000  0.0000  4 Os 2.40, 2 Se 2.45
Nb  0.5000  0.5000  0.5000  4 Se 3.39, 8 Os 3.43
Os  0.0000  0.5000  0.0000  2 Zr 2.40
Os  0.5000  0.0000  0.0000  2 Zr 2.40
Se  0.0000  0.0000  0.5000  2 Zr 2.45

## Properties
Uncorrected formation energy (kJ/mol of formula units): 869
Density (Mg/m³): 9.45
Space-group type: P4/mmm (123)

=====

An optimized crystal structure of BaSi2F2. Source: the Alexandria database, functional GGA-PBE.

abc: 9.9673 9.9673 9.9673
angles: 160.11 160.11 28.27
Last column: nearest neighbours and their distance in Å.
Element x y z (fractional)
Ba  0.0000  0.0000  0.0000  8 F 2.74
Si  0.2500  0.7500  0.5000  4 Si 2.43
Si  0.7500  0.2500  0.5000  4 Si 2.43
F  0.4349  0.4349  0.0000  1 F 2.52, 4 Ba 2.74
F  0.5651  0.5651  0.0000  1 F 2.52, 4 Ba 2.74

## Properties
Uncorrected formation energy (kJ/mol of formula units): -815
Density (Mg/m³): 3.36
Space-group type: I4/mmm (139)
Offset from the most stable computed form (eV per atom): 0.000

=====

An optimized crystal structure of Sm3PbO6. Source: the Alexandria database, functional GGA-PBE.

abc: 7.4064 7.4064 5.8476
angles: 90.00 90.00 102.86
Last column: nearest neighbours and their distance in Å.
Element x y z (fractional)
Sm  0.0997  0.9003  0.5000  7 O 2.35-2.56
Sm  0.1928  0.4092  0.4442  6 O 2.32-2.52
Sm  0.4092  0.1928  0.9442  6 O 2.32-2.52
Sm  0.5908  0.8072  0.4442  6 O 2.32-2.52
Sm  0.8072  0.5908  0.9442  6 O 2.32-2.52
Sm  0.9003  0.0997  0.0000  7 O 2.35-2.56
Pb  0.3316  0.6684  0.9339  4 O 2.23-2.35
Pb  0.6684  0.3316  0.4339  4 O 2.23-2.35
O  0.0725  0.6001  0.7280  1 Pb 2.23, 2 Sm 2.32-2.47
O  0.1439  0.1781  0.7243  4 Sm 2.33-2.40
O  0.1781  0.1439  0.2243  4 Sm 2.33-2.40
O  0.2764  0.7236  0.3041  1 Pb 2.26, 3 Sm 2.35-2.42
O  0.3999  0.9275  0.7280  1 Pb 2.23, 2 Sm 2.32-2.47
O  0.4864  0.5136  0.6730  2 Pb 2.35-2.53, 2 Sm 2.52
O  0.5136  0.4864  0.1730  2 Pb 2.35-2.53, 2 Sm 2.52
O  0.6001  0.0725  0.2280  1 Pb 2.23, 2 Sm 2.32-2.47
O  0.7236  0.2764  0.8041  1 Pb 2.26, 3 Sm 2.35-2.42
O  0.8219  0.8561  0.7243  4 Sm 2.33-2.40
O  0.8561  0.8219  0.2243  4 Sm 2.33-2.40
O  0.9275  0.3999  0.2280  1 Pb 2.23, 2 Sm 2.32-2.47

## Properties
Uncorrected formation energy (kJ/mol of formula units): -2677
Density (Mg/m³): 8.01
Space-group type: Cmc2_1 (36)
Offset from the most stable computed form (eV per atom): 0.036